1.
{
  "formula": "CsRbNbI6",
  "functional": "GGA-PBE",
  "state": "optimized geometry",
  "lattice_angstrom": [[8.801, 0.000, 0.000], [-4.400, 7.622, 0.000], [0.000, 0.000, 7.450]],
  "species": ["Cs", "Rb", "Nb", "I", "I", "I", "I", "I", "I"],
  "frac_coords": [[0.000, 0.000, 0.000], [0.667, 0.333, 0.500], [0.333, 0.667, 0.500], [0.071, 0.408, 0.278], [0.071, 0.663, 0.722], [0.337, 0.408, 0.722], [0.337, 0.929, 0.278], [0.592, 0.663, 0.278], [0.592, 0.929, 0.722]],
  "formation_energy_uncorrected_ev_per_atom": -0.88,
  "spacegroup": "P312"
}



2.
{
  "formula": "AlCoRh4",
  "functional": "GGA-PBE",
  "state": "optimized geometry",
  "lattice_angstrom": [[0.000, 3.577, 3.577], [3.577, 0.000, 3.577], [3.577, 3.577, 0.000]],
  "species": ["Al", "Co", "Rh", "Rh", "Rh", "Rh"],
  "frac_coords": [[0.000, 0.000, 0.000], [0.750, 0.750, 0.750], [0.375, 0.375, 0.375], [0.375, 0.375, 0.875], [0.375, 0.875, 0.375], [0.875, 0.375, 0.375]],
  "e_form_ev_per_atom": 0.222,
  "spacegroup": "F-43m"
}



3.
{
  "formula": "Sm3Ho5Sc",
  "functional": "GGA-PBE",
  "state": "optimized geometry",
  "lattice_angstrom": [[6.073, -5.554, 0.000], [6.073, 5.554, 0.000], [-5.715, 0.000, 9.984]],
  "species": ["Sm", "Sm", "Sm", "Sm", "Sm", "Sm", "Ho", "Ho", "Ho", "Ho", "Ho", "Ho", "Ho", "Ho", "Ho", "Ho", "Sc", "Sc"],
  "frac_coords": [[0.000, 0.000, 0.000], [0.000, 0.000, 0.500], [0.219, 0.219, 0.344], [0.320, 0.320, 0.758], [0.680, 0.680, 0.242], [0.781, 0.781, 0.656], [0.080, 0.569, 0.192], [0.284, 0.716, 0.000], [0.321, 0.321, 0.042], [0.431, 0.920, 0.808], [0.494, 0.494, 0.629], [0.506, 0.506, 0.371], [0.569, 0.080, 0.192], [0.679, 0.679, 0.958], [0.716, 0.284, 0.000], [0.920, 0.431, 0.808], [0.064, 0.064, 0.787], [0.936, 0.936, 0.213]],
  "e_form_ev_per_atom": 0.577,
  "spacegroup": "C2/m"
}



4.
{
  "formula": "SiPbCl2",
  "functional": "GGA-PBE",
  "state": "optimized geometry",
  "lattice_angstrom": [[4.842, 0.000, 0.000], [0.000, 4.346, 0.000], [-0.629, 0.000, 4.903]],
  "species": ["Si", "Pb", "Cl", "Cl"],
  "frac_coords": [[0.000, 0.000, 0.000], [0.500, 0.000, 0.500], [0.224, 0.500, 0.775], [0.776, 0.500, 0.225]],
  "formation_energy_uncorrected_ev_per_atom": -0.19,
  "spacegroup": "P2/m"
}



E_tot in eV per atom, matching the order above: -3.2382 -6.4869 -4.2429 -3.4010